# 1
Computed, not measured: a geometry-optimized MnBe3 structure at the GGA-PBEsol level of DFT.

Geometry as POSCAR:
```
MnBe3
1.0
3.219 0.000 0.000
0.000 3.219 0.000
0.000 0.000 3.219
Mn Be
1 3
Cartesian
0.000 0.000 0.000 Mn
0.000 1.609 1.609 Be
1.609 0.000 1.609 Be
1.609 1.609 0.000 Be
```

The total energy is -5.60 eV per atom. The formation energy is -0.15 eV per atom. Its space-group type is No. 221.

# 2
Computed, not measured: a geometry-optimized MgZn4 structure at the GGA-PBEsol level of DFT.

Geometry as POSCAR:
```
MgZn4
1.0
-4.349 4.349 4.349
4.349 -4.349 4.349
4.349 4.349 -4.349
Mg Zn
4 16
Cartesian
1.826 1.826 -1.826 Mg
1.826 -1.826 1.826 Mg
-1.826 1.826 1.826 Mg
2.523 2.523 2.523 Mg
3.413 3.413 -3.413 Zn
3.059 0.000 0.000 Zn
5.639 0.000 0.000 Zn
3.413 -3.413 3.413 Zn
0.935 0.935 0.935 Zn
4.349 2.174 0.000 Zn
4.349 0.000 2.174 Zn
0.000 3.059 0.000 Zn
0.000 0.000 3.059 Zn
2.174 4.349 0.000 Zn
2.174 0.000 4.349 Zn
0.000 5.639 0.000 Zn
0.000 0.000 5.639 Zn
0.000 4.349 2.174 Zn
0.000 2.174 4.349 Zn
-3.413 3.413 3.413 Zn
```

The total energy is -1.59 eV per atom. The formation energy is 0.02 eV per atom. Its space-group type is No. 217.

# 3
Computed, not measured: a geometry-optimized Mg3Cr4 structure at the GGA-PBEsol level of DFT.

Geometry as POSCAR:
```
Mg3Cr4
1.0
5.171 0.000 0.000
-2.586 4.478 0.000
0.000 0.000 4.848
Mg Cr
3 4
Cartesian
-1.293 2.239 0.000 Mg
2.586 0.000 0.000 Mg
1.293 2.239 0.000 Mg
0.000 0.000 1.493 Cr
0.000 0.000 3.355 Cr
0.000 2.986 2.424 Cr
2.586 1.493 2.424 Cr
```

The total energy is -5.75 eV per atom. The formation energy is 0.84 eV per atom. Its space-group type is No. 191.

# 4
Computed, not measured: a geometry-optimized Na2LaSiO5 structure at the GGA-PBEsol level of DFT.

Geometry as POSCAR:
```
Na2LaSiO5
1.0
9.495 0.000 0.000
0.000 7.490 0.000
0.000 0.000 6.612
Na La Si O
8 4 4 20
Cartesian
1.759 0.271 0.713 Na
1.759 3.474 0.713 Na
2.988 4.016 4.020 Na
2.988 7.219 4.020 Na
6.507 0.271 2.593 Na
6.507 3.474 2.593 Na
7.736 4.016 5.899 Na
7.736 7.219 5.899 Na
0.378 1.873 4.168 La
4.370 5.618 0.861 La
5.125 1.873 5.751 La
9.117 5.618 2.445 La
0.818 5.618 5.428 Si
3.929 1.873 2.122 Si
5.566 5.618 4.491 Si
8.677 1.873 1.185 Si
0.257 1.873 6.578 O
0.608 4.306 4.457 O
0.608 6.929 4.457 O
2.054 5.618 1.780 O
2.376 1.873 2.694 O
2.371 5.618 6.000 O
2.694 1.873 5.086 O
4.139 0.561 1.151 O
4.139 3.184 1.151 O
4.490 5.618 3.272 O
5.005 1.873 3.340 O
5.356 4.306 5.461 O
5.356 6.929 5.461 O
6.801 5.618 1.526 O
7.123 1.873 0.612 O
7.119 5.618 3.919 O
7.441 1.873 4.832 O
8.887 0.561 2.155 O
8.887 3.184 2.155 O
9.237 5.618 0.034 O
```

The total energy is -6.92 eV per atom. Its space-group type is No. 62. The value obtained for the uncorrected formation energy is -2459 meV/atom.

# 5
Computed, not measured: a geometry-optimized Ca2CdH2 structure at the GGA-PBEsol level of DFT.

Geometry as POSCAR:
```
Ca2CdH2
1.0
7.238 0.000 0.000
0.000 7.238 0.000
0.000 0.000 3.279
Ca Cd H
4 2 4
Cartesian
1.247 2.372 0.000 Ca
2.372 5.991 0.000 Ca
4.866 1.247 0.000 Ca
5.991 4.866 0.000 Ca
0.000 0.000 1.640 Cd
3.619 3.619 1.640 Cd
0.893 4.512 1.640 H
2.726 0.893 1.640 H
4.512 6.345 1.640 H
6.345 2.726 1.640 H
```

The total energy is -2.57 eV per atom. Its space-group type is No. 127.

# 6
Computed, not measured: a geometry-optimized YOs3N structure at the GGA-PBEsol level of DFT.

Geometry as POSCAR:
```
YOs3N
1.0
4.853 0.000 0.000
0.000 4.853 0.000
0.000 0.000 4.853
Y Os N
1 3 1
Cartesian
0.000 0.000 0.000 Y
0.000 0.000 2.426 Os
0.000 2.426 0.000 Os
2.426 0.000 0.000 Os
2.426 2.426 2.426 N
```

The total energy is -6.06 eV per atom. Its space-group type is No. 221. The value obtained for the uncorrected formation energy is 4342 meV/atom.

# 7
Computed, not measured: a geometry-optimized ScCdC2O structure at the GGA-PBEsol level of DFT.

Geometry as POSCAR:
```
ScCdC2O
1.0
3.836 0.000 0.000
0.000 3.836 0.000
0.000 0.000 5.896
Sc Cd C O
1 1 2 1
Cartesian
0.000 0.000 0.000 Sc
0.000 0.000 2.948 Cd
0.000 1.918 2.948 C
1.918 0.000 2.948 C
1.918 1.918 0.000 O
```

The total energy is -4.43 eV per atom. Its space-group type is No. 123. The value obtained for the uncorrected formation energy is 2040 meV/atom.

# 8
Computed, not measured: a geometry-optimized ZrMo2C structure at the GGA-PBEsol level of DFT.

Geometry as POSCAR:
```
ZrMo2C
1.0
3.089 0.000 0.000
0.000 1.699 5.385
0.000 -1.699 5.385
Zr Mo C
1 2 1
Cartesian
0.000 0.000 0.000 Zr
0.000 0.000 3.143 Mo
1.545 0.000 7.198 Mo
1.545 0.000 4.930 C
```

The total energy is -10.62 eV per atom. The formation energy is -0.05 eV per atom. Its space-group type is No. 38.

# 9
Computed, not measured: a geometry-optimized Cr2FeRe structure at the GGA-PBEsol level of DFT.

Geometry as POSCAR:
```
Cr2FeRe
1.0
4.034 0.000 0.000
0.000 4.034 0.000
0.000 0.000 2.960
Cr Fe Re
2 1 1
Cartesian
0.000 2.017 0.000 Cr
2.017 0.000 0.000 Cr
0.000 0.000 1.480 Fe
2.017 2.017 1.480 Re
```

The total energy is -10.60 eV per atom. The formation energy is 0.10 eV per atom. Its space-group type is No. 123.

# 10
Computed, not measured: a geometry-optimized ScBe2Au structure at the GGA-PBEsol level of DFT.

Geometry as POSCAR:
```
ScBe2Au
1.0
3.774 0.000 0.000
0.000 3.780 0.000
0.000 0.000 3.961
Sc Be Au
1 2 1
Cartesian
0.000 0.000 0.000 Sc
0.000 1.890 1.981 Be
1.887 1.890 0.000 Be
1.887 0.000 1.981 Au
```

The total energy is -4.69 eV per atom. The formation energy is -0.06 eV per atom. Its space-group type is No. 47.

# 11
Computed, not measured: a geometry-optimized YSi3Au structure at the GGA-PBEsol level of DFT.

Geometry as POSCAR:
```
YSi3Au
1.0
5.157 0.000 0.000
0.000 5.157 0.000
0.000 0.000 5.157
Y Si Au
1 3 1
Cartesian
0.000 0.000 0.000 Y
0.000 0.000 2.578 Si
0.000 2.578 0.000 Si
2.578 0.000 0.000 Si
2.578 2.578 2.578 Au
```

The total energy is -4.17 eV per atom. Its space-group type is No. 221. The value obtained for the uncorrected formation energy is 1430 meV/atom.

# 12
Computed, not measured: a geometry-optimized AsH2S structure at the GGA-PBEsol level of DFT.

Geometry as POSCAR:
```
AsH2S
1.0
-2.593 2.593 3.635
2.593 -2.593 3.635
2.593 2.593 -3.635
As H S
2 4 2
Cartesian
0.000 0.000 0.000 As
0.000 2.593 1.817 As
-0.557 1.297 0.909 H
1.297 2.036 2.726 H
0.557 3.890 0.909 H
-1.297 3.151 2.726 H
2.593 0.000 1.817 S
0.000 0.000 3.635 S
```

The total energy is -3.35 eV per atom. Its space-group type is No. 122.

| no. | density (g/cm3) |
| --- | --- |
| 1 | 4.08 |
| 2 | 5.77 |
| 3 | 4.16 |
| 4 | 4.14 |
| 5 | 3.76 |
| 6 | 9.79 |
| 7 | 3.78 |
| 8 | 8.67 |
| 9 | 11.93 |
| 10 | 7.64 |
| 11 | 4.48 |
| 12 | 3.70 |